The following is a DFT calculation (PBE) of a relaxed Sc8Sn3 crystal.

The structure in POSCAR format:
```
Sc8Sn3
1.0
4.6878 2.7065 3.9093
-4.6878 2.7065 3.9093
0.0000 -5.4130 3.9093
Sc Sn
8 3
Cartesian
0.0000 0.0000 1.8464
-0.8216 -1.8144 4.5593
-1.1605 1.6187 4.5593
-1.9821 -0.1956 7.1686
1.9821 0.1956 4.5593
1.1605 -1.6188 7.1686
0.8216 1.8144 7.1686
0.0000 0.0000 9.8815
-4.6878 0.0000 5.8639
-2.3439 1.3533 1.9546
2.3439 1.3533 1.9547
```

density of states at the Fermi level: 15.159 states/eV/f.u.
DFT formation energy: -0.055 eV/atom
calculated volume: 27.1 Å³/atom
SG: R-3 (148)